Compound: AcPuTl2S4
Source: Alexandria
Functional: GGA-PBE
Structure: relaxed

## Properties
Its space group is P2/m. The formation energy from raw total energies is -1.32 eV/atom. Its total energy is -6.28 eV per atom. For the density of states at the Fermi level, the calculation gives 1.365 states/eV/atom.

Structure (CIF):
```
data_AcPuTl2S4
_chemical_formula_sum 'Ac1 Pu1 Tl2 S4'
_cell_length_a 4.265
_cell_length_b 7.418
_cell_length_c 7.838
_cell_angle_alpha 108.29
_cell_angle_beta 90.00
_cell_angle_gamma 90.00
_space_group_name_H-M_alt 'P 1'
_space_group_IT_number 1
loop_
_space_group_symop_operation_xyz
'x,y,z'
loop_
_atom_site_label
_atom_site_type_symbol
_atom_site_fract_x
_atom_site_fract_y
_atom_site_fract_z
Ac1 Ac 0.500 0.500 0.000
Pu1 Pu 0.000 0.000 0.000
Tl1 Tl 0.500 0.000 0.500
Tl2 Tl 0.000 0.500 0.500
S1 S 0.500 0.216 0.198
S2 S 0.500 0.784 0.802
S3 S 0.000 0.249 0.792
S4 S 0.000 0.751 0.208
```

Compound: SrLa3U2N6
Source: Alexandria
Functional: GGA-PBE
Structure: relaxed

## Properties
Its space group is C2/m. The formation energy from raw total energies is -1.29 eV/atom. Its total energy is -8.71 eV per atom. For the density of states at the Fermi level, the calculation gives 0.652 states/eV/atom.

Structure (CIF):
```
data_SrLa3U2N6
_chemical_formula_sum 'Sr1 La3 U2 N6'
_cell_length_a 3.601
_cell_length_b 7.250
_cell_length_c 8.172
_cell_angle_alpha 103.52
_cell_angle_beta 102.73
_cell_angle_gamma 90.00
_space_group_name_H-M_alt 'P 1'
_space_group_IT_number 1
loop_
_space_group_symop_operation_xyz
'x,y,z'
loop_
_atom_site_label
_atom_site_type_symbol
_atom_site_fract_x
_atom_site_fract_y
_atom_site_fract_z
Sr1 Sr 0.500 0.000 0.000
La1 La 0.500 0.500 0.000
La2 La 0.830 0.164 0.661
La3 La 0.170 0.836 0.339
U1 U 0.831 0.667 0.663
U2 U 0.169 0.333 0.337
N1 N 0.330 0.872 0.659
N2 N 0.678 0.555 0.356
N3 N 0.670 0.128 0.341
N4 N 0.032 0.276 0.065
N5 N 0.968 0.724 0.935
N6 N 0.322 0.445 0.644
```

Compound: HfReSi
Source: Alexandria
Functional: GGA-PBE
Structure: relaxed

## Properties
Its space group is P-3m1. The formation energy from raw total energies is -0.38 eV/atom. Its total energy is -9.66 eV per atom. For the density of states at the Fermi level, the calculation gives 0.394 states/eV/atom.

Structure (CIF):
```
data_HfReSi
_chemical_formula_sum 'Hf2 Re2 Si2'
_cell_length_a 4.339
_cell_length_b 4.339
_cell_length_c 6.077
_cell_angle_alpha 90.00
_cell_angle_beta 90.00
_cell_angle_gamma 120.00
_space_group_name_H-M_alt 'P 1'
_space_group_IT_number 1
loop_
_space_group_symop_operation_xyz
'x,y,z'
loop_
_atom_site_label
_atom_site_type_symbol
_atom_site_fract_x
_atom_site_fract_y
_atom_site_fract_z
Re1 Re 0.333 0.667 0.323
Re2 Re 0.667 0.333 0.677
Si1 Si 0.333 0.667 0.751
Si2 Si 0.667 0.333 0.249
Hf1 Hf 0.000 0.000 0.500
Hf2 Hf 0.000 0.000 0.000
```

Compound: SiMoPt3
Source: Alexandria
Functional: GGA-PBE
Structure: relaxed

## Properties
Its space group is Pm-3m. The formation energy from raw total energies is 1.25 eV/atom. Its total energy is -5.62 eV per atom. The offset from the most stable computed form is 743.8 meV/atom. For the density of states at the Fermi level, the calculation gives 0.721 states/eV/atom.

Structure (CIF):
```
data_SiMoPt3
_chemical_formula_sum 'Si1 Mo1 Pt3'
_cell_length_a 4.827
_cell_length_b 4.827
_cell_length_c 4.827
_cell_angle_alpha 90.00
_cell_angle_beta 90.00
_cell_angle_gamma 90.00
_space_group_name_H-M_alt 'P 1'
_space_group_IT_number 1
loop_
_space_group_symop_operation_xyz
'x,y,z'
loop_
_atom_site_label
_atom_site_type_symbol
_atom_site_fract_x
_atom_site_fract_y
_atom_site_fract_z
Mo1 Mo 0.000 0.000 0.000
Si1 Si 0.500 0.500 0.500
Pt1 Pt 0.000 0.500 0.000
Pt2 Pt 0.000 0.000 0.500
Pt3 Pt 0.500 0.000 0.000
```

Compound: PuTl5S4
Source: Alexandria
Functional: GGA-PBE
Structure: relaxed

## Properties
Its space group is C2/m. The formation energy from raw total energies is -0.68 eV/atom. Its total energy is -4.94 eV per atom. For the density of states at the Fermi level, the calculation gives 0.976 states/eV/atom.

Structure (CIF):
```
data_PuTl5S4
_chemical_formula_sum 'Pu1 Tl5 S4'
_cell_length_a 4.118
_cell_length_b 8.468
_cell_length_c 9.507
_cell_angle_alpha 107.68
_cell_angle_beta 102.51
_cell_angle_gamma 90.00
_space_group_name_H-M_alt 'P 1'
_space_group_IT_number 1
loop_
_space_group_symop_operation_xyz
'x,y,z'
loop_
_atom_site_label
_atom_site_type_symbol
_atom_site_fract_x
_atom_site_fract_y
_atom_site_fract_z
Pu1 Pu 0.500 0.000 0.000
Tl1 Tl 0.818 0.691 0.636
Tl2 Tl 0.843 0.194 0.687
Tl3 Tl 0.157 0.806 0.313
Tl4 Tl 0.500 0.500 0.000
Tl5 Tl 0.182 0.309 0.364
S1 S 0.344 0.952 0.688
S2 S 0.981 0.773 0.962
S3 S 0.656 0.048 0.312
S4 S 0.019 0.227 0.038
```

Compound: Sm3GaCo
Source: Alexandria
Functional: GGA-PBE
Structure: relaxed

## Properties
Its space group is Pm-3m. The energy relative to the elements is -0.067 eV per atom. Its total energy is -4.93 eV per atom. The offset from the most stable computed form is 201.6 meV/atom. For the density of states at the Fermi level, the calculation gives 1.162 states/eV/atom.

Structure (CIF):
```
data_Sm3GaCo
_chemical_formula_sum 'Sm3 Ga1 Co1'
_cell_length_a 5.171
_cell_length_b 5.171
_cell_length_c 5.171
_cell_angle_alpha 90.00
_cell_angle_beta 90.00
_cell_angle_gamma 90.00
_space_group_name_H-M_alt 'P 1'
_space_group_IT_number 1
loop_
_space_group_symop_operation_xyz
'x,y,z'
loop_
_atom_site_label
_atom_site_type_symbol
_atom_site_fract_x
_atom_site_fract_y
_atom_site_fract_z
Co1 Co 0.000 0.000 0.000
Ga1 Ga 0.500 0.500 0.500
Sm1 Sm 0.000 0.500 0.000
Sm2 Sm 0.000 0.000 0.500
Sm3 Sm 0.500 0.000 0.000
```

Compound: SrRe2Ni
Source: Alexandria
Functional: GGA-PBE
Structure: relaxed

## Properties
Its space group is R-3m. The energy relative to the elements is 0.928 eV per atom. Its total energy is -7.16 eV per atom. The offset from the most stable computed form is 526.2 meV/atom. For the density of states at the Fermi level, the calculation gives 1.351 states/eV/atom.

Structure (CIF):
```
data_SrRe2Ni
_chemical_formula_sum 'Sr1 Re2 Ni1'
_cell_length_a 10.008
_cell_length_b 10.008
_cell_length_c 10.008
_cell_angle_alpha 16.09
_cell_angle_beta 16.09
_cell_angle_gamma 16.09
_space_group_name_H-M_alt 'P 1'
_space_group_IT_number 1
loop_
_space_group_symop_operation_xyz
'x,y,z'
loop_
_atom_site_label
_atom_site_type_symbol
_atom_site_fract_x
_atom_site_fract_y
_atom_site_fract_z
Ni1 Ni 0.750 0.750 0.750
Re1 Re 0.015 0.015 0.015
Re2 Re 0.485 0.485 0.485
Sr1 Sr 0.250 0.250 0.250
```

Compound: AcTm2Pb
Source: Alexandria
Functional: GGA-PBE
Structure: relaxed

## Properties
Its space group is Fm-3m. The energy relative to the elements is 0.001 eV per atom. Its total energy is -4.19 eV per atom. The offset from the most stable computed form is 186.0 meV/atom. For the density of states at the Fermi level, the calculation gives 1.686 states/eV/atom.

Structure (CIF):
```
data_AcTm2Pb
_chemical_formula_sum 'Ac1 Tm2 Pb1'
_cell_length_a 5.570
_cell_length_b 5.570
_cell_length_c 5.570
_cell_angle_alpha 60.00
_cell_angle_beta 60.00
_cell_angle_gamma 60.00
_space_group_name_H-M_alt 'P 1'
_space_group_IT_number 1
loop_
_space_group_symop_operation_xyz
'x,y,z'
loop_
_atom_site_label
_atom_site_type_symbol
_atom_site_fract_x
_atom_site_fract_y
_atom_site_fract_z
Pb1 Pb 0.000 0.000 0.000
Ac1 Ac 0.500 0.500 0.500
Tm1 Tm 0.250 0.250 0.250
Tm2 Tm 0.750 0.750 0.750
```

Compound: RbNaSn4
Source: Alexandria
Functional: GGA-PBE
Structure: relaxed

## Properties
Its space group is Imm2. The energy relative to the elements is -0.140 eV per atom. Its total energy is -3.19 eV per atom. The offset from the most stable computed form is 0.0 meV/atom. For the density of states at the Fermi level, the calculation gives 0.503 states/eV/atom.

Structure (CIF):
```
data_RbNaSn4
_chemical_formula_sum 'Rb1 Na1 Sn4'
_cell_length_a 5.209
_cell_length_b 6.700
_cell_length_c 6.700
_cell_angle_alpha 74.97
_cell_angle_beta 67.12
_cell_angle_gamma 67.12
_space_group_name_H-M_alt 'P 1'
_space_group_IT_number 1
loop_
_space_group_symop_operation_xyz
'x,y,z'
loop_
_atom_site_label
_atom_site_type_symbol
_atom_site_fract_x
_atom_site_fract_y
_atom_site_fract_z
Rb1 Rb 0.568 0.432 0.432
Na1 Na 0.441 0.059 0.059
Sn1 Sn 0.155 0.664 0.027
Sn2 Sn 0.841 0.845 0.473
Sn3 Sn 0.841 0.473 0.845
Sn4 Sn 0.155 0.027 0.664
```